# 1
## NaLa (PBE-GGA)

Data for crystalline NaLa at its relaxed geometry.

Computed properties:
Crystal system: hexagonal
Energy of formation: 252 meV per atom
Energy relative to the lowest polymorph listed for this composition: 183 meV/atom

Cell: 12.3726 12.3726 3.4512 Å, 90.00 90.00 120.00°
Space group P6_3/m (No. 176)
Unique sites:
Na (0.0621, 0.2810, 0.2500) x6
La (0.1400, 0.5974, 0.2500) x6

=====

# 2
## NaLa (PBE-GGA)

Data for crystalline NaLa at its relaxed geometry.

Computed properties:
Crystal system: cubic
Energy of formation: 890 meV per atom
Energy relative to the lowest polymorph listed for this composition: 821 meV/atom

Cell: 10.944 10.944 10.944 Å, 90.00 90.00 90.00°
Space group I-43m (No. 217)
Unique sites:
Na (0.207, 0.207, 0.207) x8
La (0.102, 0.102, 0.898) x8

=====

# 3
## NaLa (PBE-GGA)

Data for crystalline NaLa at its relaxed geometry.

Computed properties:
Crystal system: orthorhombic
Energy of formation: 261 meV per atom
Energy relative to the lowest polymorph listed for this composition: 192 meV/atom

Cell: 3.479 16.907 7.327 Å, 90.00 90.00 90.00°
Space group Imm2 (No. 44)
Unique sites:
Na (0.000, 0.000, 0.000) x2
Na (0.000, 0.354, 0.273) x4
La (0.000, 0.000, 0.467) x2
La (0.000, 0.335, 0.784) x4

=====

# 4
## NaLa (PBE-GGA)

Data for crystalline NaLa at its relaxed geometry.

Computed properties:
Crystal system: hexagonal
Energy of formation: 179 meV per atom
Energy relative to the lowest polymorph listed for this composition: 110 meV/atom

Cell: 3.5918 3.5918 6.4890 Å, 90.00 90.00 120.00°
Space group P-6m2 (No. 187)
Unique sites:
Na (0.0000, 0.0000, 0.0000) x1
La (0.3333, 0.6667, 0.5000) x1

=====

# 5
## NaLa (PBE-GGA)

Data for crystalline NaLa at its relaxed geometry.

Computed properties:
Crystal system: orthorhombic
Energy of formation: 411 meV per atom
Energy relative to the lowest polymorph listed for this composition: 341 meV/atom

Cell: 3.295 6.444 6.827 Å, 90.00 90.00 90.00°
Space group Immm (No. 71)
Unique sites:
Na (0.000, 0.000, 0.000) x2
La (0.000, 0.000, 0.500) x2

=====

# 6
## NaLa5 (PBE-GGA)

Data for crystalline NaLa5 at its relaxed geometry.

Computed properties:
Crystal system: orthorhombic
Energy of formation: 132 meV per atom

Cell: 6.142 18.596 3.822 Å, 90.00 90.00 90.00°
Space group Cmmm (No. 65)
Unique sites:
Na (0.000, 0.000, 0.000) x2
La (0.000, 0.157, 0.500) x4
La (0.000, 0.324, 0.000) x4
La (0.000, 0.500, 0.500) x2

=====

# 7
## NaLa (PBE-GGA)

Data for crystalline NaLa at its relaxed geometry.

Computed properties:
Crystal system: trigonal
Energy of formation: 69 meV per atom
Energy relative to the lowest polymorph listed for this composition: 0 meV/atom

Cell: 3.7011 3.7011 12.5500 Å, 90.00 90.00 120.00°
Space group P-3m1 (No. 164)
Unique sites:
Na (0.3333, 0.6667, 0.1248) x2
La (0.3333, 0.6667, 0.6191) x2

=====

# 8
## NaLa (PBE-GGA)

Data for crystalline NaLa at its relaxed geometry.

Computed properties:
Crystal system: cubic
Energy of formation: 659 meV per atom
Energy relative to the lowest polymorph listed for this composition: 590 meV/atom

Cell: 6.786 6.786 6.786 Å, 90.00 90.00 90.00°
Space group Fm-3m (No. 225)
Unique sites:
Na (0.000, 0.000, 0.000) x4
La (0.000, 0.000, 0.500) x4

=====

# 9
## NaLa (PBE-GGA)

Data for crystalline NaLa at its relaxed geometry.

Computed properties:
Crystal system: tetragonal
Energy of formation: 254 meV per atom
Energy relative to the lowest polymorph listed for this composition: 185 meV/atom

Cell: 7.079 7.079 11.377 Å, 90.00 90.00 90.00°
Space group P4_12_12 (No. 92)
Unique sites:
Na (0.089, 0.305, 0.404) x8
La (0.043, 0.209, 0.858) x8

=====

# 10
## NaLa2Nb (PBE-GGA)

Data for crystalline NaLa2Nb at its relaxed geometry.

Computed properties:
Crystal system: cubic
Energy of formation: 472 meV per atom
Energy relative to the lowest polymorph listed for this composition: 0 meV/atom

Cell: 7.755 7.755 7.755 Å, 90.00 90.00 90.00°
Space group Fm-3m (No. 225)
Unique sites:
Na (0.000, 0.000, 0.000) x4
La (0.250, 0.250, 0.250) x8
Nb (0.000, 0.000, 0.500) x4

=====

# 11
## NaLa2Nb (PBE-GGA)

Data for crystalline NaLa2Nb at its relaxed geometry.

Computed properties:
Crystal system: tetragonal
Energy of formation: 724 meV per atom
Energy relative to the lowest polymorph listed for this composition: 252 meV/atom

Cell: 8.403 8.403 7.354 Å, 90.00 90.00 90.00°
Space group I-42d (No. 122)
Unique sites:
Na (0.000, 0.000, 0.000) x4
La (0.163, 0.250, 0.625) x8
Nb (0.000, 0.000, 0.500) x4

=====

# 12
## NaLa3Nb (PBE-GGA)

Data for crystalline NaLa3Nb at its relaxed geometry.

Computed properties:
Crystal system: cubic
Energy of formation: 348 meV per atom
Energy relative to the lowest polymorph listed for this composition: 0 meV/atom

Cell: 5.723 5.723 5.723 Å, 90.00 90.00 90.00°
Space group Pm-3m (No. 221)
Unique sites:
Na (0.000, 0.000, 0.000) x1
La (0.000, 0.500, 0.500) x3
Nb (0.500, 0.500, 0.500) x1

=====

# 13
## NaLaNb4O12 (PBE-GGA)

Data for crystalline NaLaNb4O12 at its relaxed geometry.

Computed properties:
Crystal system: tetragonal
Formation energy from raw total energies: -2.666 eV/atom

Cell: 5.625 5.625 16.074 Å, 90.00 90.00 90.00°
Space group I4/mmm (No. 139)
Unique sites:
Na (0.000, 0.000, 0.000) x2
La (0.000, 0.000, 0.500) x2
Nb (0.000, 0.500, 0.129) x8
O (0.000, 0.500, 0.000) x4
O (0.000, 0.500, 0.250) x4
O (0.244, 0.244, 0.385) x16

=====

# 14
## NaLaNb2O6 (PBE-GGA)

Data for crystalline NaLaNb2O6 at its relaxed geometry.

Computed properties:
Crystal system: cubic
Formation energy from raw total energies: -2.623 eV/atom

Cell: 8.108 8.108 8.108 Å, 90.00 90.00 90.00°
Space group Fm-3m (No. 225)
Unique sites:
Na (0.000, 0.000, 0.000) x4
La (0.000, 0.000, 0.500) x4
Nb (0.250, 0.250, 0.250) x8
O (0.000, 0.250, 0.250) x24

=====

# 15
## NaLaScNbO6 (PBE-GGA)

Data for crystalline NaLaScNbO6 at its relaxed geometry.

Computed properties:
Crystal system: monoclinic
Formation energy from raw total energies: -2.998 eV/atom

Cell: 8.008 8.084 8.112 Å, 90.00 90.17 90.00°
Space group C2/m (No. 12)
Unique sites:
Na (0.000, 0.246, 0.000) x4
La (0.000, 0.245, 0.500) x4
Sc (0.248, 0.500, 0.247) x4
Nb (0.248, 0.000, 0.235) x4
O (0.005, 0.500, 0.681) x4
O (0.007, 0.000, 0.200) x4
O (0.184, 0.000, 0.499) x4
O (0.192, 0.500, 0.992) x4
O (0.249, 0.256, 0.721) x8

=====

# 16
## Na3LaTi2Nb2O12 (PBE-GGA)

Data for crystalline Na3LaTi2Nb2O12 at its relaxed geometry.

Computed properties:
Crystal system: monoclinic
Formation energy from raw total energies: -2.718 eV/atom

Cell: 7.806 7.844 11.085 Å, 90.00 134.70 90.00°
Space group P2/c (No. 13)
Unique sites:
Na (0.000, 0.235, 0.250) x2
Na (0.500, 0.248, 0.750) x2
Na (0.500, 0.249, 0.250) x2
La (0.000, 0.265, 0.750) x2
Ti (0.000, 0.500, 0.000) x2
Ti (0.500, 0.000, 0.000) x2
Nb (0.000, 0.000, 0.000) x2
Nb (0.500, 0.500, 0.000) x2
O (0.061, 0.253, 0.016) x4
O (0.201, 0.471, 0.454) x4
O (0.217, 0.022, 0.753) x4
O (0.276, 0.039, 0.523) x4
O (0.278, 0.466, 0.748) x4
O (0.471, 0.248, 0.016) x4

=====

# 17
## Na3LaTi2Nb2O12 (PBE-GGA)

Data for crystalline Na3LaTi2Nb2O12 at its relaxed geometry.

Computed properties:
Crystal system: monoclinic
Formation energy from raw total energies: -2.720 eV/atom

Cell: 7.764 8.080 7.860 Å, 90.00 90.16 90.00°
Space group C2 (No. 5)
Unique sites:
Na (0.000, 0.000, 0.000) x2
Na (0.000, 0.009, 0.500) x2
Na (0.000, 0.538, 0.500) x2
La (0.000, 0.516, 0.000) x2
Ti (0.246, 0.267, 0.248) x4
Nb (0.246, 0.271, 0.740) x4
O (0.001, 0.751, 0.789) x4
O (0.003, 0.338, 0.273) x4
O (0.212, 0.042, 0.757) x4
O (0.217, 0.044, 0.241) x4
O (0.217, 0.786, 0.504) x4
O (0.218, 0.301, 0.002) x4

=====

# 18
## NaLaZrNbO6 (PBE-GGA)

Data for crystalline NaLaZrNbO6 at its relaxed geometry.

Computed properties:
Crystal system: cubic
Formation energy from raw total energies: -2.796 eV/atom

Cell: 8.219 8.219 8.219 Å, 90.00 90.00 90.00°
Space group F-43m (No. 216)
Unique sites:
Na (0.000, 0.000, 0.000) x4
La (0.000, 0.000, 0.500) x4
Zr (0.250, 0.250, 0.250) x4
Nb (0.250, 0.250, 0.750) x4
O (0.004, 0.250, 0.750) x24

=====

# 19
## Na2LaNbTe (PBE-GGA)

Data for crystalline Na2LaNbTe at its relaxed geometry.

Computed properties:
Crystal system: tetragonal
Formation energy from raw total energies: 0.670 eV/atom

Cell: 5.650 5.650 5.285 Å, 90.00 90.00 90.00°
Space group P4/mmm (No. 123)
Unique sites:
Na (0.000, 0.500, 0.000) x2
La (0.000, 0.000, 0.500) x1
Nb (0.000, 0.000, 0.000) x1
Te (0.500, 0.500, 0.500) x1

=====

# 20
## NaLaNb2Tl (PBE-GGA)

Data for crystalline NaLaNb2Tl at its relaxed geometry.

Computed properties:
Crystal system: tetragonal
Energy of formation: 1473 meV per atom

Cell: 5.026 5.026 6.183 Å, 90.00 90.00 90.00°
Space group P4/mmm (No. 123)
Unique sites:
Na (0.000, 0.000, 0.000) x1
La (0.500, 0.500, 0.500) x1
Nb (0.000, 0.500, 0.500) x2
Tl (0.500, 0.500, 0.000) x1

=====

Computed values of V (unit: A^3/atom) for the preceding records, in sequence: 38.13 81.92 35.92 36.25 36.23 36.38 37.22 39.05 35.63 29.14 32.45 37.49 14.13 13.33 13.13 12.06 12.33 13.88 33.75 31.23.